The following is a DFT calculation (PBE) of Pm3YTl2O after structural relaxation.

Cell: 4.6904 4.7994 16.7932 Å, 90.00 90.00 90.00°
Last column: nearest neighbours and their distance in Å.
Space group Immm (No. 71)
Unique sites:
Pm  0.0000  0.0000  0.0000  2 O 2.40
Pm  0.0000  0.5000  0.1716  1 O 2.88, 1 Tl 3.19
Y  0.0000  0.0000  0.5000  2 O 2.35
Tl  0.0000  0.5000  0.3618  7 Pm 3.19-3.40, 2 Y 3.34
O  0.0000  0.5000  0.0000  2 Y 2.35, 2 Pm 2.40

Values from the calculation:
ΔE_f (raw)   -1058 meV per atom